A plane-wave DFT calculation with PBE was carried out for a relaxed In4AuS5 crystal.

abc: 16.8571 3.7827 7.9165
angles: 90.00 105.29 90.00
With the nearest neighbours (Å) after each atom.
Space group C2/m (No. 12)
Asymmetric unit:
In  0.0115  0.0000  0.2739  4 S 2.60-2.82, 2 Au 2.85
In  0.1886  0.5000  0.1314  5 S 2.59-2.69
Au  0.0000  0.5000  0.0000  6 In 2.85-3.07
S  0.0000  0.5000  0.5000  4 In 2.65
S  0.1596  0.0000  0.8812  4 In 2.59-2.82
S  0.1709  0.0000  0.3412  3 In 2.59-2.60

Density of states at the Fermi level in states/eV per cell: 4.677
VASP energy in Ha/atom: -0.140
ρ in g cm⁻³: 5.57


A plane-wave DFT calculation with PBE was carried out for a relaxed Ti4PN2 crystal.

abc: 4.4651 4.4651 10.8762
angles: 90.00 90.00 90.00
With the nearest neighbours (Å) after each atom.
Space group I4/mmm (No. 139)
Asymmetric unit:
Ti  0.0000  0.0000  0.2367  1 N 1.77
Ti  0.0000  0.5000  0.0000  2 P 2.23, 4 N 2.49
P  0.0000  0.0000  0.0000  4 Ti 2.23
N  0.0000  0.0000  0.3996  1 Ti 1.77

Density of states at the Fermi level in states/eV per cell: 13.096
ρ in g cm⁻³: 3.84
Distance to the lowest polymorph of the same formula in kJ/mol of formula units: 895


A plane-wave DFT calculation with PBE was carried out for a relaxed Rb2ZrRhI6 crystal.

abc: 8.2184 8.2184 11.5762
angles: 90.00 90.00 90.00
With the nearest neighbours (Å) after each atom.
Space group I4/mmm (No. 139)
Asymmetric unit:
Rb  0.0000  0.5000  0.2500  12 I 4.10-4.11
Zr  0.0000  0.0000  0.0000  6 I 2.92
Rh  0.0000  0.0000  0.5000  6 I 2.87-2.89
I  0.0000  0.0000  0.2520  1 Rh 2.87, 1 Zr 2.92
I  0.2487  0.2487  0.5000  1 Rh 2.89, 1 Zr 2.92

Density of states at the Fermi level in states/eV per cell: 9.576
VASP energy in Ha/atom: -0.128
ρ in g cm⁻³: 4.78


A plane-wave DFT calculation with PBE was carried out for a relaxed AgRuC2 crystal.

abc: 5.5690 5.5690 5.5690
angles: 90.00 90.00 90.00
With the nearest neighbours (Å) after each atom.
Space group Fm-3m (No. 225)
Asymmetric unit:
Ag  0.0000  0.0000  0.0000  8 C 2.41
Ru  0.0000  0.0000  0.5000  8 C 2.41
C  0.2500  0.2500  0.2500  4 Ru 2.41, 4 Ag 2.41

Density of states at the Fermi level in states/eV per cell: 21.031
ρ in g cm⁻³: 8.96
Distance to the lowest polymorph of the same formula in kJ/mol of formula units: 367


A plane-wave DFT calculation with PBE was carried out for a relaxed SrLa2Cl crystal.

abc: 6.1628 6.1628 3.7446
angles: 90.00 90.00 90.00
With the nearest neighbours (Å) after each atom.
Space group P4/mmm (No. 123)
Asymmetric unit:
Sr  0.0000  0.0000  0.0000  8 La 3.61, 2 Sr 3.74
La  0.0000  0.5000  0.5000  4 Cl 3.61, 4 Sr 3.61, 2 La 3.74
Cl  0.5000  0.5000  0.0000  8 La 3.61, 2 Cl 3.74

Density of states at the Fermi level in states/eV per cell: 5.903
ρ in g cm⁻³: 4.68
Distance to the lowest polymorph of the same formula in kJ/mol of formula units: 186


A plane-wave DFT calculation with PBE was carried out for a relaxed Y3ZnCd crystal.

abc: 5.1518 20.0121 5.1523
angles: 90.00 90.00 90.00
With the nearest neighbours (Å) after each atom.
Space group Cmcm (No. 63)
Asymmetric unit:
Y  0.0000  0.0651  0.2500  2 Zn 3.18, 2 Cd 3.18
Y  0.0000  0.2499  0.2500  4 Cd 3.16, 4 Zn 3.17
Y  0.0000  0.4347  0.2500  2 Zn 3.17, 2 Cd 3.18
Zn  0.0000  0.1579  0.7500  8 Y 3.17-3.18
Cd  0.0000  0.3417  0.7500  8 Y 3.16-3.18

Density of states at the Fermi level in states/eV per cell: 26.009
ρ in g cm⁻³: 5.56
Distance to the lowest polymorph of the same formula in kJ/mol of formula units: 0


A plane-wave DFT calculation with PBE was carried out for a relaxed SrAc2TeO8 crystal.

abc: 5.6908 5.6908 6.9759
angles: 90.00 90.00 120.00
With the nearest neighbours (Å) after each atom.
Space group P-3m1 (No. 164)
Asymmetric unit:
Sr  0.0000  0.0000  0.0000  6 O 2.85
Ac  0.3333  0.6667  0.3529  1 O 2.19
Te  0.0000  0.0000  0.5000  6 O 1.94
O  0.1609  0.3219  0.6604  1 Te 1.94
O  0.3333  0.6667  0.0391  1 Ac 2.19

Density of states at the Fermi level in states/eV per cell: 0.236
VASP energy in Ha/atom: -0.235
ρ in g cm⁻³: 6.77


A plane-wave DFT calculation with PBE was carried out for a relaxed DyBS crystal.

abc: 7.0798 3.3966 12.9459
angles: 90.00 94.64 90.00
With the nearest neighbours (Å) after each atom.
Space group C2/m (No. 12)
Asymmetric unit:
Dy  0.0290  0.0000  0.1565  3 S 2.56-2.65, 2 B 2.76-2.82
B  0.2285  0.5000  0.9999  2 B 1.73
S  0.2289  0.5000  0.2661  3 Dy 2.56-2.65

Density of states at the Fermi level in states/eV per cell: 1.112
ρ in g cm⁻³: 4.40
Distance to the lowest polymorph of the same formula in kJ/mol of formula units: 87


| no. | magnetization (μB per cell) |
| --- | --- |
| 1 | 0.00 |
| 2 | 1.91 |
| 3 | 2.00 |
| 4 | 0.00 |
| 5 | 0.03 |
| 6 | 0.00 |
| 7 | 2.01 |
| 8 | 0.00 |